No. 1
Below is a relaxed structure of RuSeBr2O, with properties calculated at the PBE level.

Its final energy is -3.160 eV/atom. The calculation puts the total magnetic moment at 3.683 Bohr magnetons per cell. Its raw formation energy is 1.053 eV/atom. Its volume is 19.993 Å³ per atom.

The structure belongs to space group P4/mmm (No. 123); the cell edges are 4.811, 4.811 and 4.319 Å and the angles 90.00°, 90.00° and 90.00°. The inequivalent atoms are Ru at (0.000, 0.000, 0.000), Se at (0.500, 0.500, 0.000), Br at (0.000, 0.500, 0.500) and O at (0.500, 0.500, 0.500).



No. 2
Below is a relaxed structure of RuSe2BrO, with properties calculated at the PBE level.

Its final energy is -3.694 eV/atom. The calculation puts the total magnetic moment at 0.009 Bohr magnetons per cell. Its raw formation energy is 0.881 eV/atom. Its volume is 23.468 Å³ per atom.

The structure belongs to space group P4/mmm (No. 123); the cell edges are 4.752, 4.752 and 5.197 Å and the angles 90.00°, 90.00° and 90.00°. The inequivalent atoms are Ru at (0.000, 0.000, 0.000), Se at (0.000, 0.500, 0.000), Br at (0.000, 0.000, 0.500) and O at (0.500, 0.500, 0.500).